Compound: NaCd3Cu8
Source: the Alexandria database
Functional: PBE-GGA
Structure: optimized geometry

The energy relative to the elements is 0.028 eV per atom. The electronic total energy comes out at -3.0415 eV/atom. For the density of states at the Fermi level, the calculation gives 5.0 states/eV/cell. The value obtained for the volume is 181.6 Å³/cell.

Cell: 8.6942 8.6942 8.6942 Å, 33.84 33.84 33.84°
Last column: nearest neighbours and their distance in Å.
Fractional positions:
Na 0.0000 0.0000 0.0000  12 Cu 2.96-2.98, 4 Cd 3.09
Cd 0.3741 0.3741 0.3741  12 Cu 2.96-2.98, 1 Cd 3.07, 3 Na 3.09
Cd 0.4990 0.4990 0.4990  12 Cu 2.93-2.97, 4 Cd 3.07-3.10
Cd 0.8744 0.8744 0.8744  12 Cu 2.92-2.97, 1 Na 3.09, 3 Cd 3.10
Cu 0.1868 0.1868 0.1868  6 Cu 2.49-2.50
Cu 0.4367 0.4367 0.9348  6 Cu 2.50-2.54
Cu 0.4367 0.9348 0.4367  6 Cu 2.50-2.54
Cu 0.4398 0.9373 0.9373  6 Cu 2.49-2.54
Cu 0.6874 0.6874 0.6874  6 Cu 2.53-2.54
Cu 0.9348 0.4367 0.4367  6 Cu 2.50-2.54
Cu 0.9373 0.4398 0.9373  6 Cu 2.49-2.54
Cu 0.9373 0.9373 0.4398  6 Cu 2.49-2.54

---

Compound: AlInI4
Source: the Alexandria database
Functional: PBE-GGA
Structure: optimized geometry

The electronic total energy comes out at -2.7038 eV/atom. For the density of states at the Fermi level, the calculation gives 0.0 states/eV/cell. The value obtained for the volume is 836.9 Å³/cell. As for the uncorrected formation energy: -0.59 eV per atom. The energy above the most stable polymorph in this dataset is 0.034 eV/atom.

Cell: 8.3820 8.4200 11.8582 Å, 90.00 90.00 90.00°
Last column: nearest neighbours and their distance in Å.
Fractional positions:
Al 0.0000 0.0000 0.0000  4 I 2.57
Al 0.0000 0.5000 0.5000  4 I 2.57
In 0.0000 0.0000 0.5000  4 I 3.45
In 0.5000 0.0000 0.0000  4 I 3.42
I 0.1777 0.1758 0.1253  1 Al 2.57
I 0.1777 0.8242 0.8747  1 Al 2.57
I 0.1822 0.3248 0.6221  1 Al 2.57
I 0.1822 0.6752 0.3779  1 Al 2.57
I 0.8178 0.3248 0.3779  1 Al 2.57
I 0.8178 0.6752 0.6221  1 Al 2.57
I 0.8223 0.1758 0.8747  1 Al 2.57
I 0.8223 0.8242 0.1253  1 Al 2.57

---

Compound: SrLiAc2O5
Source: the Alexandria database
Functional: PBE-GGA
Structure: optimized geometry

The electronic total energy comes out at -6.6932 eV/atom. For the density of states at the Fermi level, the calculation gives 15.8 states/eV/cell. The value obtained for the volume is 284.5 Å³/cell. As for the uncorrected formation energy: -2.63 eV per atom.

Cell: 7.5632 7.5632 7.5632 Å, 124.13 124.13 82.98°
Last column: nearest neighbours and their distance in Å.
Fractional positions:
Sr 0.2500 0.2500 0.0000  10 O 2.83-3.01
Sr 0.7500 0.7500 0.0000  10 O 2.83-3.01
Li 0.2500 0.7500 0.5000  4 O 1.94
Li 0.7500 0.2500 0.5000  4 O 1.94
Ac 0.1683 0.6683 0.8367  8 O 2.43-2.71
Ac 0.3317 0.1683 0.5000  8 O 2.43-2.71
Ac 0.6683 0.8317 0.5000  8 O 2.43-2.71
Ac 0.8317 0.3317 0.1633  8 O 2.43-2.71
O 0.0000 0.0000 0.0000  4 Ac 2.64, 2 Sr 2.83
O 0.0083 0.2187 0.5000  1 Li 1.94
O 0.2187 0.7187 0.2104  1 Li 1.94
O 0.2813 0.4917 0.5000  1 Li 1.94
O 0.4917 0.9917 0.2104  1 Li 1.94
O 0.5000 0.5000 0.0000  4 Ac 2.64, 2 Sr 2.83
O 0.5083 0.0083 0.7896  1 Li 1.94
O 0.7187 0.5083 0.5000  1 Li 1.94
O 0.7813 0.2813 0.7896  1 Li 1.94
O 0.9917 0.7813 0.5000  1 Li 1.94

---

Compound: YAsOs2
Source: the Alexandria database
Functional: PBE-GGA
Structure: optimized geometry

The energy relative to the elements is 0.313 eV per atom. The electronic total energy comes out at -8.0803 eV/atom. For the density of states at the Fermi level, the calculation gives 0.0 states/eV/cell. The value obtained for the volume is 154.2 Å³/cell.

Cell: 5.9374 5.9374 5.9374 Å, 103.14 103.14 123.06°
Last column: nearest neighbours and their distance in Å.
Fractional positions:
Y 0.0000 0.0000 0.0000  2 As 2.83, 8 Os 3.10
Y 0.7500 0.2500 0.5000  2 As 2.83, 8 Os 3.10
As 0.2500 0.7500 0.5000  4 Os 2.36
As 0.5000 0.5000 0.0000  4 Os 2.36
Os 0.1991 0.6250 0.0741  2 As 2.36
Os 0.3750 0.4491 0.5741  2 As 2.36
Os 0.5509 0.1250 0.9259  2 As 2.36
Os 0.8750 0.8009 0.4259  2 As 2.36

---

Compound: K2ThUO6
Source: the Alexandria database
Functional: PBE-GGA
Structure: optimized geometry

The electronic total energy comes out at -8.0548 eV/atom. For the density of states at the Fermi level, the calculation gives 0.0 states/eV/cell. The value obtained for the volume is 343.7 Å³/cell. As for the uncorrected formation energy: -2.99 eV per atom.

Cell: 6.2406 8.8257 6.2409 Å, 90.00 90.00 90.00°
Last column: nearest neighbours and their distance in Å.
Fractional positions:
K 0.2500 0.0000 0.2494  12 O 3.12-3.13
K 0.2500 0.5000 0.2494  12 O 3.12-3.13
K 0.7500 0.0000 0.7506  12 O 3.12-3.13
K 0.7500 0.5000 0.7506  12 O 3.12-3.13
Th 0.2500 0.2500 0.7496  6 O 2.31
Th 0.7500 0.7500 0.2504  6 O 2.31
U 0.2500 0.7500 0.7503  6 O 2.10
U 0.7500 0.2500 0.2497  6 O 2.10
O 0.0117 0.7500 0.5124  1 U 2.10, 1 Th 2.31
O 0.0120 0.7500 0.9886  1 U 2.10, 1 Th 2.31
O 0.2500 0.5119 0.7502  1 U 2.10, 1 Th 2.31
O 0.2500 0.9881 0.7502  1 U 2.10, 1 Th 2.31
O 0.4883 0.7500 0.5124  1 U 2.10, 1 Th 2.31
O 0.4880 0.7500 0.9886  1 U 2.10, 1 Th 2.31
O 0.5120 0.2500 0.0114  1 U 2.10, 1 Th 2.31
O 0.5117 0.2500 0.4876  1 U 2.10, 1 Th 2.31
O 0.7500 0.0119 0.2498  1 U 2.10, 1 Th 2.31
O 0.7500 0.4881 0.2498  1 U 2.10, 1 Th 2.31
O 0.9880 0.2500 0.0114  1 U 2.10, 1 Th 2.31
O 0.9883 0.2500 0.4876  1 U 2.10, 1 Th 2.31

---

Compound: Al2OsSe
Source: the Alexandria database
Functional: PBE-GGA
Structure: optimized geometry

The electronic total energy comes out at -5.6582 eV/atom. For the density of states at the Fermi level, the calculation gives 2.6 states/eV/cell. The value obtained for the volume is 64.3 Å³/cell. As for the uncorrected formation energy: -0.11 eV per atom.

Cell: 7.8980 7.8980 7.8980 Å, 22.69 22.69 22.69°
Last column: nearest neighbours and their distance in Å.
Fractional positions:
Al 0.2458 0.2458 0.2458  3 Os 2.56, 3 Se 2.70
Al 0.7542 0.7542 0.7542  3 Os 2.56, 3 Se 2.70
Os 0.5000 0.5000 0.5000  6 Al 2.56
Se 0.0000 0.0000 0.0000  6 Al 2.70

---

Compound: GaCo2Re
Source: the Alexandria database
Functional: PBE-GGA
Structure: optimized geometry

The energy relative to the elements is 0.026 eV per atom. The electronic total energy comes out at -7.3958 eV/atom. For the density of states at the Fermi level, the calculation gives 3.8 states/eV/cell. The value obtained for the volume is 51.2 Å³/cell.

Cell: 8.3016 8.3016 8.3016 Å, 18.66 18.66 18.66°
Last column: nearest neighbours and their distance in Å.
Fractional positions:
Ga 0.0000 0.0000 0.0000  6 Co 2.54, 6 Ga 2.69
Co 0.2513 0.2513 0.2513  3 Ga 2.54, 3 Re 2.59, 6 Co 2.69
Co 0.7487 0.7487 0.7487  3 Ga 2.54, 3 Re 2.59, 6 Co 2.69
Re 0.5000 0.5000 0.5000  6 Co 2.59, 6 Re 2.69

---

Compound: SiPbN3
Source: the Alexandria database
Functional: PBE-GGA
Structure: optimized geometry

The electronic total energy comes out at -6.0862 eV/atom. For the density of states at the Fermi level, the calculation gives 3.9 states/eV/cell. The value obtained for the volume is 52.7 Å³/cell. As for the uncorrected formation energy: 0.74 eV per atom.

Cell: 3.7497 3.7497 3.7497 Å, 90.00 90.00 90.00°
Last column: nearest neighbours and their distance in Å.
Fractional positions:
Si 0.0000 0.0000 0.0000  6 N 1.87
Pb 0.5000 0.5000 0.5000  12 N 2.65
N 0.0000 0.0000 0.5000  2 Si 1.87
N 0.0000 0.5000 0.0000  2 Si 1.87
N 0.5000 0.0000 0.0000  2 Si 1.87

---

Compound: Ac2PmCl
Source: the Alexandria database
Functional: PBE-GGA
Structure: optimized geometry

The electronic total energy comes out at -4.3494 eV/atom. For the density of states at the Fermi level, the calculation gives 3.4 states/eV/cell. The value obtained for the volume is 147.1 Å³/cell. As for the uncorrected formation energy: -0.65 eV per atom.

Cell: 11.2196 11.2196 11.2196 Å, 20.18 20.18 20.18°
Last column: nearest neighbours and their distance in Å.
Fractional positions:
Ac 0.2406 0.2406 0.2406  3 Cl 3.33
Ac 0.7594 0.7594 0.7594  3 Cl 3.33
Pm 0.0000 0.0000 0.0000  6 Ac 3.81, 6 Pm 3.93
Cl 0.5000 0.5000 0.5000  6 Ac 3.33

---

Compound: HoGaBIr2
Source: the Alexandria database
Functional: PBE-GGA
Structure: optimized geometry

The energy relative to the elements is -0.661 eV per atom. The electronic total energy comes out at -7.0616 eV/atom. For the density of states at the Fermi level, the calculation gives 5.4 states/eV/cell. The value obtained for the volume is 165.2 Å³/cell.

Cell: 5.9774 5.9774 7.3708 Å, 90.00 90.00 141.14°
Last column: nearest neighbours and their distance in Å.
Fractional positions:
Ho 0.0483 0.9517 0.7500  4 B 2.77
Ho 0.9517 0.0483 0.2500  4 B 2.77
Ga 0.2337 0.7663 0.2500  6 Ir 2.55
Ga 0.7663 0.2337 0.7500  6 Ir 2.55
B 0.5000 0.5000 0.0000  2 Ir 1.92
B 0.5000 0.5000 0.5000  2 Ir 1.92
Ir 0.3346 0.6654 0.5598  1 B 1.92
Ir 0.3346 0.6654 0.9402  1 B 1.92
Ir 0.6654 0.3346 0.0598  1 B 1.92
Ir 0.6654 0.3346 0.4402  1 B 1.92

---

Compound: BaSr4Ac2
Source: the Alexandria database
Functional: PBE-GGA
Structure: optimized geometry

The energy relative to the elements is 0.557 eV per atom. The electronic total energy comes out at -1.8526 eV/atom. For the density of states at the Fermi level, the calculation gives 11.3 states/eV/cell. The value obtained for the volume is 406.7 Å³/cell. The energy above the most stable polymorph in this dataset is 0.523 eV/atom.

Cell: 10.8544 10.8544 10.8544 Å, 145.58 145.58 49.47°
Last column: nearest neighbours and their distance in Å.
Fractional positions:
Ba 0.0000 0.0000 0.0000  4 Sr 3.21
Sr 0.0000 0.5000 0.5000  2 Ba 3.21
Sr 0.1841 0.1841 0.0000  1 Ba 3.63
Sr 0.5000 0.0000 0.5000  2 Ba 3.21
Sr 0.8159 0.8159 0.0000  1 Ba 3.63
Ac 0.3934 0.3934 0.0000  5 Sr 3.84-4.13, 1 Ac 4.20
Ac 0.6066 0.6066 0.0000  5 Sr 3.84-4.13, 1 Ac 4.20

---

Compound: CrTePS2
Source: the Alexandria database
Functional: PBE-GGA
Structure: optimized geometry

The electronic total energy comes out at -3.7317 eV/atom. For the density of states at the Fermi level, the calculation gives 10.2 states/eV/cell. The value obtained for the volume is 124.4 Å³/cell. As for the uncorrected formation energy: 1.55 eV per atom. The energy above the most stable polymorph in this dataset is 1.278 eV/atom.

Cell: 4.9788 4.9788 5.0185 Å, 90.00 90.00 90.00°
Last column: nearest neighbours and their distance in Å.
Fractional positions:
Cr 0.0000 0.0000 0.0000  4 P 3.52, 8 S 3.53
Te 0.5000 0.5000 0.5000  4 S 2.49, 2 P 2.51
P 0.5000 0.5000 0.0000  2 Te 2.51
S 0.0000 0.5000 0.5000  2 Te 2.49
S 0.5000 0.0000 0.5000  2 Te 2.49